Entry 1:
Cd2GaBiO | PBE | relaxed

a = 5.9115 Å, b = 4.3538 Å, c = 5.9115 Å
α = 90.00°, β = 90.00°, γ = 90.00°
Last column: nearest neighbours and their distance in Å.
Fractional coordinates of all 5 atoms:
Cd (0.5000, 0.0000, 0.0000)  2 Bi 2.96
Cd (0.0000, 0.0000, 0.5000)  2 Bi 2.96
Ga (0.5000, 0.5000, 0.5000)  8 Cd 3.67
Bi (0.0000, 0.0000, 0.0000)  2 O 2.18
O (0.0000, 0.5000, 0.0000)  2 Bi 2.18

Formation energy from raw total energies ... 0.2039 eV/atom

***

Entry 2:
CdGaBiP2 | PBE | relaxed

a = 5.3114 Å, b = 5.6501 Å, c = 5.3114 Å
α = 90.00°, β = 90.00°, γ = 90.00°
Last column: nearest neighbours and their distance in Å.
Fractional coordinates of all 5 atoms:
P (0.0000, 0.0000, 0.5000)  2 Bi 2.66
P (0.5000, 0.0000, 0.0000)  2 Bi 2.66
Cd (0.5000, 0.5000, 0.5000)  4 Ga 3.76, 8 P 3.88
Bi (0.0000, 0.0000, 0.0000)  4 P 2.66, 2 Ga 2.83
Ga (0.0000, 0.5000, 0.0000)  2 Bi 2.83

Formation energy ... 0.994 eV/atom

***

Entry 3:
CdGaBiPb | PBE | relaxed

a = 5.4222 Å, b = 5.4222 Å, c = 5.4222 Å
α = 60.00°, β = 60.00°, γ = 60.00°
Last column: nearest neighbours and their distance in Å.
Fractional coordinates of all 4 atoms:
Ga (0.0000, 0.0000, 0.0000)  4 Cd 3.32, 4 Bi 3.32
Cd (0.7500, 0.7500, 0.7500)  4 Ga 3.32, 4 Pb 3.32
Bi (0.2500, 0.2500, 0.2500)  4 Pb 3.32, 4 Ga 3.32
Pb (0.5000, 0.5000, 0.5000)  4 Bi 3.32, 4 Cd 3.32

Formation energy ... 0.122 eV/atom

***

Entry 4:
CdGaSnBi | PBE | relaxed

a = 5.3387 Å, b = 5.3387 Å, c = 5.3387 Å
α = 60.00°, β = 60.00°, γ = 60.00°
Last column: nearest neighbours and their distance in Å.
Fractional coordinates of all 4 atoms:
Ga (0.0000, 0.0000, 0.0000)  4 Cd 3.27, 4 Bi 3.27
Sn (0.5000, 0.5000, 0.5000)  4 Bi 3.27, 4 Cd 3.27
Cd (0.7500, 0.7500, 0.7500)  4 Sn 3.27, 4 Ga 3.27
Bi (0.2500, 0.2500, 0.2500)  4 Ga 3.27, 4 Sn 3.27

Formation energy ... 0.134 eV/atom

***

Entry 5:
Tl2CdGaBi2 | PBE | relaxed

a = 7.0602 Å, b = 6.9509 Å, c = 9.1658 Å
α = 112.28°, β = 112.65°, γ = 90.00°
Last column: nearest neighbours and their distance in Å.
Fractional coordinates of all 12 atoms:
Cd (0.0000, 0.2500, 0.0000)  4 Bi 3.12, 2 Cd 3.48, 4 Tl 3.49
Cd (0.0000, 0.7500, 0.0000)  4 Bi 3.12, 2 Cd 3.48, 4 Tl 3.49
Bi (0.6164, 0.3854, 0.7707)  2 Ga 2.97, 2 Cd 3.12
Bi (0.1543, 0.8854, 0.7707)  2 Ga 2.97, 2 Cd 3.12
Bi (0.3836, 0.6146, 0.2293)  2 Ga 2.97, 2 Cd 3.12
Bi (0.8457, 0.1146, 0.2293)  2 Ga 2.97, 2 Cd 3.12
Tl (0.0710, 0.3361, 0.6721)  5 Bi 3.42-3.64, 2 Cd 3.49, 2 Ga 3.59
Tl (0.9290, 0.6639, 0.3279)  5 Bi 3.42-3.64, 2 Cd 3.49, 2 Ga 3.59
Tl (0.3989, 0.1639, 0.3279)  5 Bi 3.42-3.64, 2 Cd 3.49, 2 Ga 3.59
Tl (0.6011, 0.8361, 0.6721)  5 Bi 3.42-3.64, 2 Cd 3.49, 2 Ga 3.59
Ga (0.5000, 0.2500, 0.0000)  4 Bi 2.97
Ga (0.5000, 0.7500, 0.0000)  4 Bi 2.97

Formation energy ... 0.004 eV/atom

***

Entry 6:
TlCdGaBi2 | PBE | relaxed

a = 5.9300 Å, b = 5.3389 Å, c = 5.9300 Å
α = 90.00°, β = 90.00°, γ = 90.00°
Last column: nearest neighbours and their distance in Å.
Fractional coordinates of all 5 atoms:
Ga (0.0000, 0.5000, 0.0000)  2 Tl 2.67
Tl (0.0000, 0.0000, 0.0000)  2 Ga 2.67, 4 Bi 2.96
Bi (0.5000, 0.0000, 0.0000)  2 Tl 2.96
Bi (0.0000, 0.0000, 0.5000)  2 Tl 2.96
Cd (0.5000, 0.5000, 0.5000)  8 Bi 3.99, 4 Ga 4.19

Formation energy ... 0.659 eV/atom

***

Number 1: raw total energy -2.54 eV per atom. Number 2: raw total energy -2.73 eV per atom. Number 3: raw total energy -2.76 eV per atom. Number 4: raw total energy -2.82 eV per atom. Number 5: raw total energy -2.74 eV per atom. Number 6: raw total energy -2.16 eV per atom.